(1)
Computed, not measured: CsTc3N after structural relaxation at the GGA-PBEsol level of DFT.

a = 4.8480 Å, b = 4.8480 Å, c = 4.8480 Å
α = 90.00°, β = 90.00°, γ = 90.00°
Space group Pm-3m (No. 221)
Symmetry-distinct sites (fractional):
Cs1 0.0000 0.0000 0.0000 [1 per cell]
Tc1 0.0000 0.0000 0.5000 [3 per cell]
N1 0.5000 0.5000 0.5000 [1 per cell]

Values from the calculation:
Formation energy without anion corrections   4.3961 eV/atom
E_tot   -4.258 eV per atom
Theoretical density   6.4 g cm⁻³

---

(2)
Computed, not measured: AlMoAuCl2 after structural relaxation at the GGA-PBEsol level of DFT.

a = 5.0456 Å, b = 5.0456 Å, c = 4.9360 Å
α = 90.00°, β = 90.00°, γ = 90.00°
Space group P4/mmm (No. 123)
Symmetry-distinct sites (fractional):
Al1 0.0000 0.0000 0.0000 [1 per cell]
Mo1 0.5000 0.5000 0.0000 [1 per cell]
Au1 0.0000 0.0000 0.5000 [1 per cell]
Cl1 0.0000 0.5000 0.5000 [2 per cell]

Values from the calculation:
Formation energy without anion corrections   1.0527 eV/atom
E_tot   -3.707 eV per atom
Theoretical density   5.2 g cm⁻³

---

(3)
Computed, not measured: CaFeAs2 after structural relaxation at the GGA-PBEsol level of DFT.

a = 6.7171 Å, b = 4.0065 Å, c = 5.7701 Å
α = 90.00°, β = 114.36°, γ = 90.00°
Space group C2/m (No. 12)
Symmetry-distinct sites (fractional):
Ca1 0.0000 0.0000 0.0000 [2 per cell]
Fe1 0.0000 0.5000 0.5000 [2 per cell]
As1 0.2182 0.0000 0.6589 [4 per cell]

Values from the calculation:
Offset from the most stable computed form   0.0000 eV per atom
ΔH_f (0 K)   -516 meV per atom
E_tot   -5.844 eV per atom
Theoretical density   5.8 g cm⁻³

---

(4)
Computed, not measured: Hf2AlHg after structural relaxation at the GGA-PBEsol level of DFT.

a = 6.7704 Å, b = 6.7704 Å, c = 6.7704 Å
α = 90.00°, β = 90.00°, γ = 90.00°
Space group Fm-3m (No. 225)
Symmetry-distinct sites (fractional):
Hf1 0.2500 0.2500 0.2500 [8 per cell]
Al1 0.0000 0.0000 0.0000 [4 per cell]
Hg1 0.0000 0.0000 0.5000 [4 per cell]

Values from the calculation:
ΔH_f (0 K)   -121 meV per atom
E_tot   -6.538 eV per atom
Theoretical density   12.5 g cm⁻³

---

(5)
Computed, not measured: CaH2C2O5 after structural relaxation at the GGA-PBEsol level of DFT.

a = 10.1396 Å, b = 7.2763 Å, c = 6.3280 Å
α = 90.00°, β = 106.96°, γ = 90.00°
Space group C2 (No. 5)
Symmetry-distinct sites (fractional):
Ca1 0.1894 0.0000 0.0028 [4 per cell]
H1 0.1694 0.2956 0.6242 [4 per cell]
H2 0.2076 0.4791 0.5252 [4 per cell]
C1 0.0000 0.3929 0.0000 [2 per cell]
C2 0.0000 0.6069 0.0000 [2 per cell]
C3 0.0636 0.0202 0.4576 [4 per cell]
O1 0.0433 0.0038 0.2531 [4 per cell]
O2 0.1112 0.6851 0.9983 [4 per cell]
O3 0.1153 0.3148 0.0267 [4 per cell]
O4 0.1651 0.4302 0.6383 [4 per cell]
O5 0.1789 0.0423 0.6045 [4 per cell]

Values from the calculation:
E_tot   -7.033 eV per atom
Theoretical density   2.2 g cm⁻³

---

(6)
Computed, not measured: YMgTl2 after structural relaxation at the GGA-PBEsol level of DFT.

a = 10.8863 Å, b = 4.4910 Å, c = 4.4906 Å
α = 90.00°, β = 114.18°, γ = 90.00°
Space group Cm (No. 8)
Symmetry-distinct sites (fractional):
Y1 0.0000 0.0000 0.0000 [2 per cell]
Mg1 0.2500 0.5000 0.2506 [2 per cell]
Tl1 0.9995 0.5000 0.4993 [2 per cell]
Tl2 0.2498 0.0000 0.7507 [2 per cell]

Values from the calculation:
ΔH_f (0 K)   -246 meV per atom
E_tot   -3.696 eV per atom
Theoretical density   8.7 g cm⁻³

---

(7)
Computed, not measured: Mo2IrBr after structural relaxation at the GGA-PBEsol level of DFT.

a = 3.8380 Å, b = 3.8380 Å, c = 8.4494 Å
α = 90.00°, β = 90.00°, γ = 90.00°
Space group I4/mmm (No. 139)
Symmetry-distinct sites (fractional):
Mo1 0.0000 0.5000 0.2500 [4 per cell]
Ir1 0.0000 0.0000 0.0000 [2 per cell]
Br1 0.0000 0.0000 0.5000 [2 per cell]

Values from the calculation:
Offset from the most stable computed form   0.5158 eV per atom
Formation energy without anion corrections   0.9142 eV/atom
E_tot   -7.893 eV per atom
Theoretical density   12.4 g cm⁻³

---

(8)
Computed, not measured: Pr3Y after structural relaxation at the GGA-PBEsol level of DFT.

a = 5.0871 Å, b = 5.0871 Å, c = 5.0871 Å
α = 90.00°, β = 90.00°, γ = 90.00°
Space group Pm-3m (No. 221)
Symmetry-distinct sites (fractional):
Pr1 0.0000 0.0000 0.5000 [3 per cell]
Y1 0.5000 0.5000 0.5000 [1 per cell]

Values from the calculation:
Offset from the most stable computed form   0.0000 eV per atom
ΔH_f (0 K)   2 meV per atom
E_tot   -5.591 eV per atom
Theoretical density   6.5 g cm⁻³

---

(9)
Computed, not measured: Be3CoO after structural relaxation at the GGA-PBEsol level of DFT.

a = 3.4367 Å, b = 3.4367 Å, c = 3.4367 Å
α = 90.00°, β = 90.00°, γ = 90.00°
Space group Pm-3m (No. 221)
Symmetry-distinct sites (fractional):
Be1 0.0000 0.0000 0.5000 [3 per cell]
Co1 0.5000 0.5000 0.5000 [1 per cell]
O1 0.0000 0.0000 0.0000 [1 per cell]

Values from the calculation:
Formation energy without anion corrections   -0.4854 eV/atom
E_tot   -5.483 eV per atom
Theoretical density   4.2 g cm⁻³

---

(10)
Computed, not measured: MnPIr2 after structural relaxation at the GGA-PBEsol level of DFT.

a = 2.8250 Å, b = 3.7790 Å, c = 5.0510 Å
α = 90.00°, β = 90.00°, γ = 90.00°
Space group Pmm2 (No. 25)
Symmetry-distinct sites (fractional):
Mn1 0.0000 0.0000 0.0000 [1 per cell]
P1 0.5000 0.5000 0.3270 [1 per cell]
Ir1 0.0000 0.0000 0.4903 [1 per cell]
Ir2 0.5000 0.5000 0.8280 [1 per cell]

Values from the calculation:
ΔH_f (0 K)   -14 meV per atom
E_tot   -8.814 eV per atom
Theoretical density   14.5 g cm⁻³

---

(11)
Computed, not measured: Cu2SiAu after structural relaxation at the GGA-PBEsol level of DFT.

a = 3.7636 Å, b = 3.7636 Å, c = 3.7339 Å
α = 90.00°, β = 90.00°, γ = 90.00°
Space group P4/mmm (No. 123)
Symmetry-distinct sites (fractional):
Cu1 0.0000 0.5000 0.0000 [2 per cell]
Si1 0.0000 0.0000 0.5000 [1 per cell]
Au1 0.5000 0.5000 0.5000 [1 per cell]

Values from the calculation:
Formation energy without anion corrections   -0.0196 eV/atom
E_tot   -4.604 eV per atom
Theoretical density   11.1 g cm⁻³

---

(12)
Computed, not measured: MnSb2S4 after structural relaxation at the GGA-PBEsol level of DFT.

a = 12.3574 Å, b = 3.7829 Å, c = 14.5238 Å
α = 90.00°, β = 114.58°, γ = 90.00°
Space group C2/m (No. 12)
Symmetry-distinct sites (fractional):
Mn1 0.0000 0.0000 0.0000 [2 per cell]
Mn2 0.0000 0.0000 0.5000 [2 per cell]
Sb1 0.1499 0.5000 0.3641 [4 per cell]
Sb2 0.2233 0.0000 0.8711 [4 per cell]
S1 0.0084 0.0000 0.6697 [4 per cell]
S2 0.1066 0.5000 0.9525 [4 per cell]
S3 0.1569 0.5000 0.5406 [4 per cell]
S4 0.1630 0.0000 0.1755 [4 per cell]

Values from the calculation:
Formation energy without anion corrections   -0.3333 eV/atom
E_tot   -5.535 eV per atom
Theoretical density   4.6 g cm⁻³

---

(13)
Computed, not measured: LaCu2AgMo after structural relaxation at the GGA-PBEsol level of DFT.

a = 4.9116 Å, b = 4.9116 Å, c = 5.3052 Å
α = 90.00°, β = 90.00°, γ = 90.00°
Space group P4/mmm (No. 123)
Symmetry-distinct sites (fractional):
La1 0.0000 0.0000 0.0000 [1 per cell]
Cu1 0.0000 0.5000 0.0000 [2 per cell]
Ag1 0.0000 0.0000 0.5000 [1 per cell]
Mo1 0.5000 0.5000 0.5000 [1 per cell]

Values from the calculation:
ΔH_f (0 K)   1935 meV per atom
E_tot   -3.884 eV per atom
Theoretical density   6.1 g cm⁻³